DFT (GGA+U) results for a relaxed structure of NiPPbO2.

Values from the calculation:
- crystal system = tetragonal
- offset from the most stable computed form (meV per atom) = 0.0
- uncorrected energy (eV for the cell shown) = -21.67
- magnetic moment (μB/cell) = 0.3

abc: 3.9263 3.9263 4.6697
angles: 90.00 90.00 90.00
Last column: magnetic moment on the atom in μB.
Atoms (fractional coordinates):
Pb  0.5000  0.5000  0.5000  0.01
Ni  0.0000  0.0000  0.0000  1.30
O  0.0000  0.5000  0.0000  -0.34
O  0.5000  0.0000  0.0000  -0.34
P  0.0000  0.0000  0.5000  -0.12